5
Lattice="-0.032 3.501 -0.974 -2.387 -0.755 -2.634 -4.269 -0.139 6.416" Properties=species:S:1:pos:R:3 comment="LiNi2Te2 | Alexandria via LeMat-Bulk | GGA-PBEsol | optimized geometry" raw_formation_energy_ev_per_atom=-0.285 pbc="T T T"
Te -2.636 1.694 -0.603
Ni -2.755 2.367 1.819
Ni -3.933 0.239 0.989
Te -4.052 0.912 3.411
Li 0.000 0.000 0.000

***

3
Lattice="-2.396 0.838 -3.245 -2.598 -2.858 -1.436 -4.062 0.469 0.505" Properties=species:S:1:pos:R:3 comment="LiNiTe | Alexandria via LeMat-Bulk | GGA-PBEsol | optimized geometry" polymorph_energy_ev_per_atom=0.0000 raw_formation_energy_ev_per_atom=-0.528 pbc="T T T"
Li -4.528 -0.775 -2.088
Ni -2.264 -0.388 -1.044
Te 0.000 0.000 0.000

***

3
Lattice="4.193 0.000 0.000 2.097 3.631 0.000 2.097 1.210 3.424" Properties=species:S:1:pos:R:3 comment="LiNiTe | Alexandria via LeMat-Bulk | GGA-PBEsol | optimized geometry" polymorph_energy_ev_per_atom=0.1745 raw_formation_energy_ev_per_atom=-0.354 pbc="T T T"
Te 2.097 1.210 0.856
Ni 4.193 2.421 1.712
Li 0.000 0.000 0.000

***

4
Lattice="4.207 0.000 0.000 2.103 3.643 0.000 2.103 1.214 3.435" Properties=species:S:1:pos:R:3 comment="LiNi2Te | Alexandria via LeMat-Bulk | GGA-PBEsol | optimized geometry" raw_formation_energy_ev_per_atom=-0.103 pbc="T T T"
Ni 0.000 0.000 0.000
Ni 6.310 3.643 2.576
Te 2.103 1.214 0.859
Li 4.207 2.429 1.717

***

4
Lattice="3.709 0.000 0.000 0.000 3.709 0.000 -1.854 -1.854 3.788" Properties=species:S:1:pos:R:3 comment="LiNi2Te | Alexandria via LeMat-Bulk | GGA-PBEsol | optimized geometry" raw_formation_energy_ev_per_atom=-0.205 pbc="T T T"
Li 1.854 0.000 1.894
Ni 0.000 1.854 1.894
Ni 1.854 1.854 0.000
Te 0.000 0.000 0.000

***

4
Lattice="3.219 0.000 0.000 0.000 3.627 0.000 0.000 0.000 5.556" Properties=species:S:1:pos:R:3 comment="Li2NiTe | Alexandria via LeMat-Bulk | GGA-PBEsol | optimized geometry" raw_formation_energy_ev_per_atom=-0.167 pbc="T T T"
Li 1.609 1.813 1.416
Li 0.000 0.000 0.022
Ni 0.000 0.000 2.898
Te 1.609 1.813 3.998

***

4
Lattice="-3.351 1.187 2.360 3.035 -2.473 1.697 3.259 3.370 -0.923" Properties=species:S:1:pos:R:3 comment="Li2NiTe | Alexandria via LeMat-Bulk | GGA-PBEsol | optimized geometry" raw_formation_energy_ev_per_atom=-0.496 pbc="T T T"
Li 0.107 0.176 0.064
Ni -0.480 1.183 2.582
Li 1.471 2.407 0.877
Te 1.643 -0.046 2.358

***

5
Lattice="-0.698 1.892 4.198 -3.515 -2.961 0.750 2.974 -3.056 1.872" Properties=species:S:1:pos:R:3 comment="Li3TiNi | Alexandria via LeMat-Bulk | GGA-PBEsol | optimized geometry" formation_energy_mev_per_atom=1534 pbc="T T T"
Li -0.349 0.946 2.099
Ni -0.620 -2.063 3.410
Li -1.758 -1.481 0.375
Ti 0.000 0.000 0.000
Li 1.487 -1.528 0.936

***

5
Lattice="-1.843 -4.410 0.977 2.392 -1.848 -3.829 3.832 -0.967 2.861" Properties=species:S:1:pos:R:3 comment="LiTl3Ni | Alexandria via LeMat-Bulk | GGA-PBEsol | optimized geometry" formation_energy_mev_per_atom=663 pbc="T T T"
Li 0.000 0.000 0.000
Tl -0.921 -2.205 0.489
Tl 1.916 -0.484 1.430
Ni 2.191 -3.613 0.004
Tl 1.196 -0.924 -1.915

***

4
Lattice="3.758 0.000 0.000 0.000 3.759 0.000 -1.879 -1.880 4.207" Properties=species:S:1:pos:R:3 comment="Li2TlNi | Alexandria via LeMat-Bulk | GGA-PBEsol | optimized geometry" formation_energy_mev_per_atom=-72 pbc="T T T"
Tl 0.000 1.880 0.000
Li 1.879 1.880 2.102
Ni 1.879 0.000 0.000
Li 0.000 0.000 2.105

***

4
Lattice="-2.082 -1.867 1.323 0.575 -3.029 0.247 3.177 -0.311 8.174" Properties=species:S:1:pos:R:3 comment="Li2TlNi | Alexandria via LeMat-Bulk | GGA-PBEsol | optimized geometry" formation_energy_mev_per_atom=184 pbc="T T T"
Li 1.123 -3.952 7.037
Ni 0.848 -2.599 4.898
Li -1.474 -4.885 1.638
Tl 0.503 -1.271 2.614

***

4
Lattice="-2.806 1.109 0.255 -0.294 -1.726 4.271 1.708 4.285 0.165" Properties=species:S:1:pos:R:3 comment="Li2TlNi | Alexandria via LeMat-Bulk | GGA-PBEsol | optimized geometry" formation_energy_mev_per_atom=27 pbc="T T T"
Li 0.854 2.142 0.082
Li -0.147 -0.863 2.135
Ni -0.696 1.834 2.345
Tl -1.403 0.554 0.127

***

no.,magnetization (μB/f.u.),final energy (eV/atom)
1,0.39,-4.55
2,0.00,-4.41
3,0.00,-4.24
4,0.00,-4.56
5,0.00,-4.66
6,0.00,-3.57
7,0.00,-3.90
8,2.85,-2.54
9,0.42,-2.54
10,0.00,-3.25
11,0.00,-3.00
12,0.00,-3.15